Rb2PaF6: relaxed, PBE.

Values from the calculation:
Space-group type ... P4_2/mnm, No. 136
Theoretical density ... 3.9 g cm⁻³
E_form (uncorrected) ... -3.4358 eV/atom

Geometry as POSCAR:
```
Rb2PaF6
1.0
5.9903 0.0000 0.0000
0.0000 5.9903 0.0000
0.0000 0.0000 12.3427
Rb Pa F
4 2 12
Direct
0.0000 0.0000 0.1639
0.0000 0.0000 0.8361
0.5000 0.5000 0.3361
0.5000 0.5000 0.6639
0.0000 0.0000 0.5000
0.5000 0.5000 0.0000
0.1749 0.1749 0.3667
0.1749 0.1749 0.6333
0.2389 0.2389 0.0000
0.2611 0.7389 0.5000
0.3251 0.6749 0.1333
0.3251 0.6749 0.8667
0.6749 0.3251 0.1333
0.6749 0.3251 0.8667
0.7389 0.2611 0.5000
0.7611 0.7611 0.0000
0.8251 0.8251 0.3667
0.8251 0.8251 0.6333
```